No. 1
Here is a geometry-optimized SbH3 structure from Alexandria via LeMat-Bulk. Energies are from PBE-GGA.

a = 3.817 Å, b = 3.817 Å, c = 3.817 Å
α = 126.71°, β = 126.71°, γ = 78.72°
Fractional positions:
H (0.250, 0.750, 0.500)
Sb (0.000, 0.000, 0.000)
H (0.500, 0.500, 0.000)
H (0.750, 0.250, 0.500)

Computed properties:
V: 34.6 Å³ per cell
relative energy among the computed polymorphs: 0.4616 eV per atom
SG: I4/mmm



No. 2
Here is a geometry-optimized Ca2Be structure from Alexandria via LeMat-Bulk. Energies are from PBE-GGA.

a = 6.104 Å, b = 6.104 Å, c = 6.104 Å
α = 106.04°, β = 106.04°, γ = 116.57°
Fractional positions:
Be (0.750, 0.750, 0.000)
Ca (0.679, 0.821, 0.500)
Ca (0.179, 0.679, 0.858)
Be (0.250, 0.250, 0.000)
Ca (0.321, 0.179, 0.500)
Ca (0.821, 0.321, 0.142)

Computed properties:
V: 173.0 Å³ per cell
relative energy among the computed polymorphs: 0.0658 eV per atom
SG: I4/mcm
formation enthalpy at 0 K: 0.292 eV per atom



No. 3
Here is a geometry-optimized Y5Pt structure from Alexandria via LeMat-Bulk. Energies are from PBE-GGA.

a = 3.675 Å, b = 6.347 Å, c = 8.339 Å
α = 69.43°, β = 90.00°, γ = 106.83°
Fractional positions:
Y (0.661, 0.323, 0.074)
Y (0.360, 0.720, 0.239)
Y (0.695, 0.391, 0.650)
Y (0.028, 0.056, 0.444)
Y (0.394, 0.788, 0.815)
Pt (0.028, 0.055, 0.945)

Computed properties:
V: 173.2 Å³ per cell
relative energy among the computed polymorphs: 0.0000 eV per atom
SG: C2/m
formation enthalpy at 0 K: -0.395 eV per atom



No. 4
Here is a geometry-optimized Dy6TlHg5 structure from Alexandria via LeMat-Bulk. Energies are from PBE-GGA.

a = 5.269 Å, b = 9.148 Å, c = 9.148 Å
α = 119.87°, β = 106.76°, γ = 106.76°
Fractional positions:
Dy (0.245, 0.745, 0.745)
Hg (0.000, 0.667, 0.333)
Tl (0.000, 0.000, 0.000)
Dy (0.755, 0.255, 0.255)
Hg (0.500, 0.500, 0.500)
Dy (0.253, 0.084, 0.421)
Dy (0.747, 0.579, 0.916)
Dy (0.253, 0.421, 0.084)
Hg (0.000, 0.333, 0.667)
Hg (0.500, 0.834, 0.166)
Hg (0.500, 0.166, 0.834)
Dy (0.747, 0.916, 0.579)

Computed properties:
V: 312.7 Å³ per cell
SG: Immm
formation enthalpy at 0 K: -0.456 eV per atom



No. 5
Here is a geometry-optimized Tl2CoIr structure from Alexandria via LeMat-Bulk. Energies are from PBE-GGA.

a = 4.590 Å, b = 4.590 Å, c = 5.540 Å
α = 78.55°, β = 78.55°, γ = 40.26°
Fractional positions:
Tl (0.004, 0.004, 0.993)
Ir (0.250, 0.250, 0.250)
Co (0.750, 0.750, 0.750)
Tl (0.496, 0.496, 0.507)

Computed properties:
V: 73.7 Å³ per cell
relative energy among the computed polymorphs: 0.2376 eV per atom
SG: C2/m
formation enthalpy at 0 K: 0.650 eV per atom



No. 6
Here is a geometry-optimized BaPbSeO structure from Alexandria via LeMat-Bulk. Energies are from PBE-GGA.

a = 4.462 Å, b = 4.462 Å, c = 14.080 Å
α = 90.00°, β = 90.00°, γ = 120.00°
Fractional positions:
Ba (0.667, 0.333, 0.422)
O (0.000, 0.000, 0.485)
Pb (0.000, 0.000, 0.149)
Se (0.667, 0.333, 0.757)
Pb (0.000, 0.000, 0.649)
Se (0.333, 0.667, 0.257)
O (0.000, 0.000, 0.985)
Ba (0.333, 0.667, 0.922)

Computed properties:
energy: -5.0053 eV per atom
V: 242.8 Å³ per cell
SG: P6_3mc



No. 7
Here is a geometry-optimized Ag2SnPO structure from Alexandria via LeMat-Bulk. Energies are from PBE-GGA.

a = 4.632 Å, b = 5.586 Å, c = 4.632 Å
α = 90.00°, β = 90.00°, γ = 90.00°
Fractional positions:
Sn (0.000, 0.500, 0.000)
P (0.000, 0.000, 0.000)
Ag (0.500, 0.000, 0.000)
Ag (0.000, 0.000, 0.500)
O (0.500, 0.500, 0.500)

Computed properties:
energy: -3.5443 eV per atom
V: 119.9 Å³ per cell
SG: P4/mmm



No. 8
Here is a geometry-optimized GdYTlPt structure from Alexandria via LeMat-Bulk. Energies are from PBE-GGA.

a = 5.181 Å, b = 5.181 Å, c = 5.181 Å
α = 60.00°, β = 60.00°, γ = 60.00°
Fractional positions:
Y (0.750, 0.750, 0.750)
Tl (0.500, 0.500, 0.500)
Pt (0.000, 0.000, 0.000)
Gd (0.250, 0.250, 0.250)

Computed properties:
V: 98.4 Å³ per cell
SG: F-43m
formation enthalpy at 0 K: -0.687 eV per atom



No. 9
Here is a geometry-optimized P3Pb structure from Alexandria via LeMat-Bulk. Energies are from PBE-GGA.

a = 4.706 Å, b = 4.706 Å, c = 4.706 Å
α = 109.51°, β = 109.51°, γ = 109.51°
Fractional positions:
P (0.000, 0.000, 0.000)
P (0.500, 0.000, 0.500)
Pb (0.000, 0.500, 0.500)
P (0.500, 0.500, 0.000)

Computed properties:
V: 80.1 Å³ per cell
SG: Im-3m
formation enthalpy at 0 K: 0.445 eV per atom



No. 10
Here is a geometry-optimized PmPr3C8 structure from Alexandria via LeMat-Bulk. Energies are from PBE-GGA.

a = 6.503 Å, b = 6.506 Å, c = 6.503 Å
α = 68.64°, β = 74.26°, γ = 111.35°
Fractional positions:
C (0.401, 0.000, 0.132)
C (0.936, 0.327, 0.064)
Pr (0.250, 0.500, 0.250)
Pm (0.000, 0.000, 0.000)
Pr (0.750, 0.500, 0.750)
Pr (0.500, 0.000, 0.500)
C (0.064, 0.000, 0.609)
C (0.132, 0.533, 0.868)
C (0.391, 0.000, 0.936)
C (0.868, 0.000, 0.599)
C (0.599, 0.467, 0.401)
C (0.609, 0.673, 0.391)

Computed properties:
V: 211.2 Å³ per cell
SG: I-42m
formation enthalpy at 0 K: 0.174 eV per atom



No. 11
Here is a geometry-optimized CoHgHPt2 structure from Alexandria via LeMat-Bulk. Energies are from PBE-GGA.

a = 4.007 Å, b = 4.007 Å, c = 4.110 Å
α = 90.00°, β = 90.00°, γ = 90.00°
Fractional positions:
Co (0.000, 0.000, 0.500)
H (0.000, 0.000, 0.000)
Pt (0.000, 0.500, 0.000)
Pt (0.500, 0.000, 0.000)
Hg (0.500, 0.500, 0.500)

Computed properties:
energy: -4.4301 eV per atom
V: 66.0 Å³ per cell
SG: P4/mmm



No. 12
Here is a geometry-optimized KCuAs2Se4 structure from Alexandria via LeMat-Bulk. Energies are from PBE-GGA.

a = 6.529 Å, b = 6.529 Å, c = 6.386 Å
α = 111.82°, β = 111.82°, γ = 105.84°
Fractional positions:
Se (0.816, 0.403, 0.219)
Cu (0.493, 0.493, 0.987)
Se (0.104, 0.104, 0.674)
Se (0.570, 0.570, 0.674)
Se (0.403, 0.816, 0.219)
As (0.772, 0.272, 0.544)
K (0.069, 0.069, 0.139)
As (0.272, 0.772, 0.544)

Computed properties:
energy: -3.7927 eV per atom
V: 206.2 Å³ per cell
SG: Fmm2



No. 13
Here is a geometry-optimized CsKCdAu2 structure from Alexandria via LeMat-Bulk. Energies are from PBE-GGA.

a = 5.571 Å, b = 5.571 Å, c = 5.920 Å
α = 90.00°, β = 90.00°, γ = 90.00°
Fractional positions:
Cd (0.000, 0.000, 0.000)
Au (0.500, 0.000, 0.000)
Au (0.000, 0.500, 0.000)
K (0.000, 0.000, 0.500)
Cs (0.500, 0.500, 0.500)

Computed properties:
V: 183.8 Å³ per cell
SG: P4/mmm
formation enthalpy at 0 K: -0.066 eV per atom



No. 14
Here is a geometry-optimized Li2LaCl structure from Alexandria via LeMat-Bulk. Energies are from PBE-GGA.

a = 5.914 Å, b = 5.914 Å, c = 5.914 Å
α = 144.10°, β = 120.73°, γ = 71.27°
Fractional positions:
Li (0.974, 0.974, 0.000)
Cl (0.542, 0.542, 0.000)
Li (0.700, 0.200, 0.500)
La (0.285, 0.785, 0.500)

Computed properties:
V: 102.4 Å³ per cell
relative energy among the computed polymorphs: 0.2396 eV per atom
SG: Imm2



No. 15
Here is a geometry-optimized LiCa2Cu12Ni3 structure from Alexandria via LeMat-Bulk. Energies are from PBE-GGA.

a = 6.331 Å, b = 6.331 Å, c = 6.331 Å
α = 83.54°, β = 83.54°, γ = 83.54°
Fractional positions:
Cu (0.803, 0.275, 0.803)
Ca (0.742, 0.742, 0.742)
Cu (0.197, 0.197, 0.725)
Ca (0.258, 0.258, 0.258)
Cu (0.147, 0.578, 0.578)
Cu (0.197, 0.725, 0.197)
Li (0.000, 0.000, 0.000)
Cu (0.725, 0.197, 0.197)
Ni (0.000, 0.500, 0.000)
Cu (0.422, 0.853, 0.422)
Ni (0.000, 0.000, 0.500)
Cu (0.803, 0.803, 0.275)
Cu (0.422, 0.422, 0.853)
Cu (0.578, 0.147, 0.578)
Ni (0.500, 0.000, 0.000)
Cu (0.275, 0.803, 0.803)
Cu (0.853, 0.422, 0.422)
Cu (0.578, 0.578, 0.147)

Computed properties:
V: 249.3 Å³ per cell
SG: R-3m
formation enthalpy at 0 K: 0.085 eV per atom



No. 16
Here is a geometry-optimized Zr4TlCd structure from Alexandria via LeMat-Bulk. Energies are from PBE-GGA.

a = 4.373 Å, b = 4.417 Å, c = 7.425 Å
α = 90.00°, β = 107.12°, γ = 90.00°
Fractional positions:
Zr (0.169, 0.500, 0.338)
Zr (0.831, 0.500, 0.662)
Zr (0.331, 0.000, 0.662)
Cd (0.500, 0.500, 0.000)
Tl (0.000, 0.000, 0.000)
Zr (0.669, 0.000, 0.338)

Computed properties:
V: 137.1 Å³ per cell
relative energy among the computed polymorphs: 0.0000 eV per atom
SG: Cmmm
formation enthalpy at 0 K: -0.099 eV per atom



No. 17
Here is a geometry-optimized Dy2MgZrN4 structure from Alexandria via LeMat-Bulk. Energies are from PBE-GGA.

a = 3.362 Å, b = 5.786 Å, c = 5.778 Å
α = 109.35°, β = 90.00°, γ = 90.00°
Fractional positions:
N (0.000, 0.739, 0.236)
Dy (0.000, 0.500, 0.500)
N (0.000, 0.261, 0.764)
Zr (0.500, 0.500, 0.000)
Mg (0.000, 0.000, 0.000)
N (0.500, 0.257, 0.239)
Dy (0.500, 0.000, 0.500)
N (0.500, 0.743, 0.761)

Computed properties:
energy: -8.0367 eV per atom
V: 106.0 Å³ per cell
SG: P2/m



No. 18
Here is a geometry-optimized YNiOs structure from Alexandria via LeMat-Bulk. Energies are from PBE-GGA.

a = 5.243 Å, b = 5.064 Å, c = 7.663 Å
α = 90.00°, β = 90.00°, γ = 90.00°
Fractional positions:
Y (0.000, 0.250, 0.871)
Y (0.500, 0.250, 0.629)
Ni (0.250, 0.750, 0.750)
Os (0.000, 0.500, 0.500)
Ni (0.250, 0.250, 0.250)
Y (0.000, 0.750, 0.129)
Y (0.500, 0.750, 0.371)
Ni (0.750, 0.750, 0.750)
Os (0.500, 0.500, 0.000)
Ni (0.750, 0.250, 0.250)
Os (0.000, 0.000, 0.500)
Os (0.500, 0.000, 0.000)

Computed properties:
V: 203.5 Å³ per cell
relative energy among the computed polymorphs: 0.0000 eV per atom
SG: Imma
formation enthalpy at 0 K: -0.361 eV per atom



No. 19
Here is a geometry-optimized CsP2O2 structure from Alexandria via LeMat-Bulk. Energies are from PBE-GGA.

a = 5.639 Å, b = 5.639 Å, c = 4.300 Å
α = 90.00°, β = 90.00°, γ = 90.00°
Fractional positions:
O (0.500, 0.500, 0.500)
Cs (0.000, 0.000, 0.000)
P (0.000, 0.500, 0.000)
O (0.000, 0.000, 0.500)
P (0.500, 0.000, 0.000)

Computed properties:
V: 136.7 Å³ per cell
relative energy among the computed polymorphs: 2.2328 eV per atom
SG: P4/mmm



No. 20
Here is a geometry-optimized Li3Ta structure from Alexandria via LeMat-Bulk. Energies are from PBE-GGA.

a = 4.727 Å, b = 2.591 Å, c = 5.668 Å
α = 86.07°, β = 90.00°, γ = 90.00°
Fractional positions:
Li (0.000, 0.672, 0.493)
Li (0.000, 0.828, 0.007)
Ta (0.500, 0.250, 0.250)
Li (0.500, 0.750, 0.750)

Computed properties:
V: 69.2 Å³ per cell
relative energy among the computed polymorphs: 0.2095 eV per atom
SG: P2/m
formation enthalpy at 0 K: 0.418 eV per atom



No. 21
Here is a geometry-optimized PmDyY2 structure from Alexandria via LeMat-Bulk. Energies are from PBE-GGA.

a = 3.606 Å, b = 3.606 Å, c = 11.778 Å
α = 81.19°, β = 81.19°, γ = 60.00°
Fractional positions:
Dy (0.666, 0.666, 0.001)
Y (0.082, 0.082, 0.753)
Pm (0.500, 0.500, 0.499)
Y (0.251, 0.251, 0.247)

Computed properties:
V: 130.5 Å³ per cell
relative energy among the computed polymorphs: 0.0039 eV per atom
SG: R3m
formation enthalpy at 0 K: 0.016 eV per atom